Material: LiAsCSe2
Method: DFT, PBE-GGA
State: optimized geometry

Output
Spin magnetization   0.51 μB/f.u.
Space-group type   P4/mmm (123)
Calculated total energy   -2.902 eV/atom

Lattice parameters (Å, degrees): 4.642 4.642 4.353 90.00 90.00 90.00
Site moments in Bohr magnetons follow the coordinates.
Fractional coordinates of all 5 atoms:
As  0.000  0.000  0.500  -0.05
C  0.500  0.500  0.500  0.41
Se  0.000  0.500  0.000  -0.07
Se  0.500  0.000  0.000  -0.07
Li  0.000  0.000  0.000  0.01



Material: La4TbPmEr2
Method: DFT, PBE-GGA
State: optimized geometry

Output
Spin magnetization   0.00 μB/f.u.
Space-group type   Pmmm (47)
Formation enthalpy at 0 K   0.02 eV/atom

Lattice parameters (Å, degrees): 5.246 5.214 11.320 62.55 90.00 90.00
Fractional coordinates of all 8 atoms:
La  0.000  0.748  0.752
La  0.000  0.252  0.248
La  0.500  0.751  0.249
La  0.500  0.249  0.751
Tb  0.500  0.500  0.000
Pm  0.000  0.500  0.500
Er  0.000  0.000  0.000
Er  0.500  0.000  0.500



Material: La2Si3Pt12Au
Method: DFT, PBE-GGA
State: optimized geometry

Output
Spin magnetization   0.00 μB/f.u.
Space-group type   R-3m (166)
Calculated total energy   -6.119 eV/atom

Lattice parameters (Å, degrees): 7.752 7.752 7.752 64.76 64.76 64.76
Fractional coordinates of all 18 atoms:
La  0.613  0.613  0.613
La  0.387  0.387  0.387
Si  0.500  0.000  0.000
Si  0.000  0.500  0.000
Si  0.000  0.000  0.500
Pt  0.353  0.353  0.898
Pt  0.866  0.866  0.387
Pt  0.387  0.866  0.866
Pt  0.898  0.353  0.353
Pt  0.866  0.387  0.866
Pt  0.353  0.898  0.353
Pt  0.647  0.647  0.102
Pt  0.134  0.134  0.613
Pt  0.613  0.134  0.134
Pt  0.102  0.647  0.647
Pt  0.134  0.613  0.134
Pt  0.647  0.102  0.647
Au  0.000  0.000  0.000



Material: ScMo2Rh
Method: DFT, PBE-GGA
State: optimized geometry

Output
Spin magnetization   0.00 μB/f.u.
Space-group type   C2/m (12)
Formation enthalpy at 0 K   -0.08 eV/atom

Lattice parameters (Å, degrees): 5.337 5.337 2.809 81.18 81.18 121.11
Fractional coordinates of all 4 atoms:
Mo  0.000  0.000  0.000
Mo  0.500  0.500  0.000
Rh  0.500  0.000  0.500
Sc  0.000  0.500  0.500



Material: ErCo2Sn2
Method: DFT, PBE-GGA
State: optimized geometry

Output
Spin magnetization   0.70 μB/f.u.
Space-group type   P2_1/m (11)
Formation enthalpy at 0 K   -0.27 eV/atom

Lattice parameters (Å, degrees): 4.222 4.494 10.185 97.17 90.00 90.00
Site moments in Bohr magnetons follow the coordinates.
Fractional coordinates of all 10 atoms:
Er  0.250  0.697  0.250  -0.04
Er  0.750  0.303  0.750  -0.04
Co  0.250  0.797  0.637  -0.09
Co  0.750  0.203  0.363  -0.09
Co  0.250  0.376  0.001  0.87
Co  0.750  0.624  0.999  0.87
Sn  0.250  0.838  0.881  -0.03
Sn  0.750  0.162  0.119  -0.03
Sn  0.250  0.256  0.504  0.01
Sn  0.750  0.744  0.496  0.01



Material: NiIrCl4
Method: DFT, PBE-GGA
State: optimized geometry

Output
Spin magnetization   2.16 μB/f.u.
Space-group type   F-43m (216)
Calculated total energy   -2.053 eV/atom

Lattice parameters (Å, degrees): 5.583 5.583 5.583 60.00 60.00 60.00
Site moments in Bohr magnetons follow the coordinates.
Fractional coordinates of all 6 atoms:
Ni  0.000  0.000  0.000  1.00
Ir  0.750  0.750  0.750  1.84
Cl  0.874  0.375  0.375  -0.14
Cl  0.375  0.375  0.874  -0.14
Cl  0.375  0.874  0.375  -0.14
Cl  0.375  0.375  0.375  -0.14



Material: Sc4TlHg2
Method: DFT, PBE-GGA
State: optimized geometry

Output
Spin magnetization   1.56 μB/f.u.
Space-group type   I4/mmm (139)
Formation enthalpy at 0 K   0.05 eV/atom

Lattice parameters (Å, degrees): 5.439 5.439 7.185 112.24 112.24 90.00
Site moments in Bohr magnetons follow the coordinates.
Fractional coordinates of all 7 atoms:
Sc  0.750  0.250  0.500  0.28
Sc  0.250  0.750  0.500  0.28
Sc  0.500  0.000  0.000  0.26
Sc  0.000  0.500  0.000  0.26
Tl  0.000  0.000  0.000  0.03
Hg  0.636  0.636  0.272  0.01
Hg  0.364  0.364  0.728  0.01



Material: KP2Pt
Method: DFT, PBE-GGA
State: optimized geometry

Output
Spin magnetization   0.00 μB/f.u.
Space-group type   Pm (6)
Formation enthalpy at 0 K   -0.30 eV/atom

Lattice parameters (Å, degrees): 3.287 4.970 6.217 67.74 90.00 90.00
Fractional coordinates of all 4 atoms:
K  0.500  0.562  0.729
P  0.000  0.089  0.191
P  0.500  0.228  0.373
Pt  0.000  0.621  0.207



Material: TaTe2I
Method: DFT, PBE-GGA
State: optimized geometry

Output
Spin magnetization   0.00 μB/f.u.
Space-group type   R-3m (166)
Calculated total energy   -5.084 eV/atom

Lattice parameters (Å, degrees): 12.180 12.180 12.180 17.19 17.19 17.19
Fractional coordinates of all 4 atoms:
I  0.000  0.000  0.000
Te  0.885  0.885  0.885
Te  0.115  0.115  0.115
Ta  0.500  0.500  0.500



Material: Pm2Sm3Hg3
Method: DFT, PBE-GGA
State: optimized geometry

Output
Spin magnetization   0.00 μB/f.u.
Space-group type   Immm (71)
Formation enthalpy at 0 K   -0.35 eV/atom

Lattice parameters (Å, degrees): 3.813 5.437 11.723 103.41 99.36 90.00
Fractional coordinates of all 8 atoms:
Pm  0.732  0.232  0.465
Pm  0.268  0.768  0.535
Sm  0.620  0.620  0.240
Sm  0.380  0.380  0.760
Sm  0.500  0.000  0.000
Hg  0.117  0.117  0.235
Hg  0.000  0.500  0.000
Hg  0.883  0.883  0.765



Material: KBeSn3
Method: DFT, PBE-GGA
State: optimized geometry

Output
Spin magnetization   0.00 μB/f.u.
Space-group type   Pm-3m (221)
Formation enthalpy at 0 K   0.21 eV/atom

Lattice parameters (Å, degrees): 5.152 5.152 5.152 90.00 90.00 90.00
Fractional coordinates of all 5 atoms:
Be  0.000  0.000  0.000
K  0.500  0.500  0.500
Sn  0.000  0.500  0.000
Sn  0.000  0.000  0.500
Sn  0.500  0.000  0.000



Material: CuHN2F
Method: DFT, PBE-GGA
State: optimized geometry

Output
Spin magnetization   0.19 μB/f.u.
Space-group type   P4/mmm (123)
Calculated total energy   -3.956 eV/atom

Lattice parameters (Å, degrees): 2.884 2.884 5.293 90.00 90.00 90.00
Site moments in Bohr magnetons follow the coordinates.
Fractional coordinates of all 5 atoms:
H  0.000  0.000  0.000  0.00
N  0.000  0.500  0.000  0.00
N  0.500  0.000  0.000  0.00
Cu  0.500  0.500  0.500  0.16
F  0.000  0.000  0.500  0.03